Entry 1:
DFT (GGA-PBE) results for an optimized crystal structure of Rb2LiCuCl4.

Cell and atoms, written as POSCAR:
```
Rb2LiCuCl4
1.0
0.000 6.874 11.808
2.773 0.000 11.808
2.773 6.874 0.000
Rb Li Cu Cl
4 2 2 8
Direct
0.052 0.052 0.698 Rb
0.302 0.302 0.948 Rb
0.698 0.698 0.052 Rb
0.948 0.948 0.302 Rb
0.375 0.375 0.375 Li
0.625 0.625 0.625 Li
0.125 0.125 0.125 Cu
0.875 0.875 0.875 Cu
0.039 0.318 0.418 Cl
0.276 0.582 0.682 Cl
0.318 0.039 0.724 Cl
0.418 0.724 0.039 Cl
0.582 0.276 0.961 Cl
0.682 0.961 0.276 Cl
0.724 0.418 0.318 Cl
0.961 0.682 0.582 Cl
```

Properties
* uncorrected formation energy: -1178 kJ/mol of formula units
* E: -3.44 eV/atom



Entry 2:
DFT (GGA-PBE) results for an optimized crystal structure of Ti3BOs.

Cell and atoms, written as POSCAR:
```
Ti3BOs
1.0
4.199 0.000 0.000
0.000 4.199 0.000
0.000 0.000 4.199
Ti B Os
3 1 1
Direct
0.000 0.000 0.500 Ti
0.000 0.500 0.000 Ti
0.500 0.000 0.000 Ti
0.000 0.000 0.000 B
0.500 0.500 0.500 Os
```

Properties
* energy above the most stable polymorph in this dataset: 0 meV/atom
* E: -8.40 eV/atom



Entry 3:
DFT (GGA-PBE) results for an optimized crystal structure of MnNi5.

Cell and atoms, written as POSCAR:
```
MnNi5
1.0
4.089 0.000 0.000
0.000 1.273 6.468
0.000 -1.273 6.468
Mn Ni
1 5
Direct
0.000 0.000 0.000 Mn
0.000 0.333 0.333 Ni
0.000 0.668 0.668 Ni
0.500 0.219 0.219 Ni
0.500 0.554 0.554 Ni
0.500 0.885 0.885 Ni
```

Properties
* E: -6.36 eV/atom



Entry 4:
DFT (GGA-PBE) results for an optimized crystal structure of ZrSi3.

Cell and atoms, written as POSCAR:
```
ZrSi3
1.0
1.643 0.949 7.414
-1.643 0.949 7.414
0.000 -1.897 7.414
Zr Si
1 3
Direct
0.000 0.000 0.000 Zr
0.239 0.239 0.239 Si
0.500 0.500 0.500 Si
0.761 0.761 0.761 Si
```

Properties
* uncorrected formation energy: 9 kJ/mol of formula units
* E: -6.18 eV/atom